1.
## Zn3SiF (PBE-GGA)

Data for crystalline Zn3SiF at its relaxed geometry.

a b c (Å): 4.7587 4.7587 4.7587
angles (deg): 90.00 90.00 90.00
Closest atoms and distances in Å follow each position.
Space group Pm-3m (No. 221)
One atom of each set of equivalent atoms:
Zn 0.0000 0.0000 0.5000 [3 per cell]  2 Si 2.38
Si 0.0000 0.0000 0.0000 [1 per cell]  6 Zn 2.38
F 0.5000 0.5000 0.5000 [1 per cell]  12 Zn 3.36

***

2.
## BAsSe3 (PBE-GGA)

Data for crystalline BAsSe3 at its relaxed geometry.

a b c (Å): 5.0499 5.0499 5.0499
angles (deg): 90.00 90.00 90.00
Closest atoms and distances in Å follow each position.
Space group Pm-3m (No. 221)
One atom of each set of equivalent atoms:
B 0.0000 0.0000 0.0000 [1 per cell]  12 Se 3.57
As 0.5000 0.5000 0.5000 [1 per cell]  6 Se 2.52
Se 0.0000 0.5000 0.5000 [3 per cell]  2 As 2.52

***

E / eV per atom: -2.35, -3.04
Total magnetic moment / μB/atom: 0.00, 0.00